(1)
# CuPdBr3

Crystalline CuPdBr3 at its relaxed geometry (PBE, Alexandria).

Lattice parameters (Å, degrees): 3.728 8.677 10.120 110.22 90.00 102.40
Element x y z (fractional)
Pd1 0.391 0.782 0.019
Pd2 0.609 0.218 0.981
Cu1 0.912 0.825 0.664
Cu2 0.088 0.175 0.336
Br1 0.159 0.318 0.158
Br2 0.372 0.743 0.512
Br3 0.841 0.682 0.842
Br4 0.628 0.257 0.488
Br5 0.067 0.134 0.802
Br6 0.933 0.866 0.198

Properties
Mass density in g/cm³: 4.6
Magnetization in μB per formula unit: 0.00
E above lowest polymorph in meV per atom: 0


(2)
# Rb3Cu2PdBr8

Crystalline Rb3Cu2PdBr8 at its relaxed geometry (PBE, Alexandria).

Lattice parameters (Å, degrees): 7.452 7.452 9.703 90.00 90.00 120.00
Element x y z (fractional)
Br1 0.836 0.164 0.665
Br2 0.327 0.164 0.665
Br3 0.836 0.673 0.665
Br4 0.673 0.836 0.335
Br5 0.164 0.836 0.335
Br6 0.164 0.327 0.335
Br7 0.667 0.333 0.021
Br8 0.333 0.667 0.979
Rb1 0.667 0.333 0.369
Rb2 0.000 0.000 0.000
Rb3 0.333 0.667 0.631
Cu1 0.667 0.333 0.784
Cu2 0.333 0.667 0.216
Pd1 0.000 0.000 0.500

Properties
Mass density in g/cm³: 4.0
Magnetization in μB per formula unit: 0.00


(3)
# Rb3Cu2PdBr9

Crystalline Rb3Cu2PdBr9 at its relaxed geometry (PBE, Alexandria).

Lattice parameters (Å, degrees): 7.417 7.417 9.032 90.00 90.00 120.00
Element x y z (fractional)
Rb1 0.667 0.333 0.330
Rb2 0.000 0.000 0.000
Rb3 0.333 0.667 0.670
Br1 0.500 0.000 0.000
Br2 0.833 0.666 0.666
Br3 0.666 0.833 0.334
Br4 0.500 0.500 0.000
Br5 0.833 0.167 0.666
Br6 0.167 0.833 0.334
Br7 0.334 0.167 0.666
Br8 0.000 0.500 0.000
Br9 0.167 0.334 0.334
Cu1 0.333 0.667 0.160
Cu2 0.667 0.333 0.840
Pd1 0.000 0.000 0.500

Properties
Mass density in g/cm³: 4.7
Magnetization in μB per formula unit: 0.00


(4)
# Rb2CuPdBr6

Crystalline Rb2CuPdBr6 at its relaxed geometry (PBE, Alexandria).

Lattice parameters (Å, degrees): 7.411 7.411 7.424 60.06 60.06 90.00
Element x y z (fractional)
Br1 0.751 0.751 0.498
Br2 0.749 0.251 0.000
Br3 0.251 0.251 0.000
Br4 0.749 0.749 0.000
Br5 0.249 0.249 0.502
Br6 0.251 0.749 0.000
Cu1 0.500 0.500 0.000
Rb1 0.250 0.750 0.500
Rb2 0.750 0.250 0.500
Pd1 0.000 0.000 0.000

Properties
Mass density in g/cm³: 4.7
Magnetization in μB per formula unit: 0.00


(5)
# RbCuPdBr6

Crystalline RbCuPdBr6 at its relaxed geometry (PBE, Alexandria).

Lattice parameters (Å, degrees): 6.799 6.789 7.739 89.98 89.88 59.88
Element x y z (fractional)
Br1 0.372 0.620 0.311
Br2 0.007 0.373 0.312
Br3 0.620 0.007 0.311
Br4 0.373 0.007 0.688
Br5 0.620 0.372 0.688
Br6 0.008 0.620 0.689
Rb1 0.000 0.001 0.000
Pd1 0.333 0.333 0.500
Cu1 0.667 0.666 0.500

Properties
Mass density in g/cm³: 3.9
Magnetization in μB per formula unit: 0.04


(6)
# ScCuPdBr2

Crystalline ScCuPdBr2 at its relaxed geometry (PBE, Alexandria).

Lattice parameters (Å, degrees): 5.140 5.195 5.140 90.00 90.00 90.00
Element x y z (fractional)
Pd1 0.500 0.500 0.500
Br1 0.000 0.000 0.500
Br2 0.500 0.000 0.000
Cu1 0.000 0.500 0.000
Sc1 0.000 0.000 0.000

Properties
Mass density in g/cm³: 4.5
Magnetization in μB per formula unit: 0.00


(7)
# CuSiPd2Br

Crystalline CuSiPd2Br at its relaxed geometry (PBE, Alexandria).

Lattice parameters (Å, degrees): 4.651 4.509 4.651 90.00 90.00 90.00
Element x y z (fractional)
Br1 0.500 0.500 0.500
Si1 0.000 0.000 0.000
Cu1 0.000 0.500 0.000
Pd1 0.500 0.000 0.000
Pd2 0.000 0.000 0.500

Properties
Mass density in g/cm³: 6.5
Magnetization in μB per formula unit: 0.00


(8)
# Tl2CuPdBr6

Crystalline Tl2CuPdBr6 at its relaxed geometry (PBE, Alexandria).

Lattice parameters (Å, degrees): 7.436 7.439 7.444 58.63 58.64 87.61
Element x y z (fractional)
Br1 0.736 0.734 0.003
Br2 0.240 0.240 0.516
Br3 0.246 0.755 0.000
Br4 0.760 0.760 0.484
Br5 0.264 0.266 0.997
Br6 0.754 0.245 0.000
Pd1 0.500 0.500 0.000
Tl1 0.751 0.249 0.500
Tl2 0.249 0.751 0.500
Cu1 0.000 0.000 0.000

Properties
Mass density in g/cm³: 6.2
Magnetization in μB per formula unit: 0.00


no.,E_tot (eV/atom),formation energy from raw total energies (eV per atom),volume (A^3/atom)
1,-3.1117,-0.2502,29.90
2,-3.0372,-0.9179,33.33
3,-2.9666,-0.8771,28.68
4,-3.0099,-0.8838,28.88
5,-2.8101,-0.5552,34.34
6,-3.7397,0.0535,27.44
7,-4.0670,0.2485,19.51
8,-2.9058,-0.4999,28.50